[1]
# Y2CoBr

An optimized crystal structure of Y2CoBr (GGA-PBEsol, Alexandria via LeMat-Bulk).

Lattice parameters (Å, degrees): 4.8775 4.8775 4.8775 60.00 60.00 60.00
Closest atoms and distances in Å follow each position.
Sites, in units of the cell vectors:
Y 0.0000 0.0000 0.0000  4 Co 2.99, 4 Y 2.99
Y 0.7500 0.7500 0.7500  4 Br 2.99, 4 Y 2.99
Co 0.2500 0.2500 0.2500  4 Br 2.99, 4 Y 2.99
Br 0.5000 0.5000 0.5000  4 Y 2.99, 4 Co 2.99

Symmetry ... F-43m, No. 216


[2]
# Y2CoBr

An optimized crystal structure of Y2CoBr (GGA-PBEsol, Alexandria via LeMat-Bulk).

Lattice parameters (Å, degrees): 3.4603 4.5181 5.6209 96.31 107.93 90.00
Closest atoms and distances in Å follow each position.
Sites, in units of the cell vectors:
Y 0.9777 0.1493 0.9553  1 Co 2.64, 4 Br 2.89-2.93
Y 0.2583 0.5905 0.5166  4 Co 2.84-2.89, 3 Br 2.94-3.00
Co 0.7288 0.0889 0.4575  1 Br 2.63, 5 Y 2.64-2.89
Br 0.5353 0.6712 0.0706  1 Co 2.63, 5 Y 2.89-2.94

Symmetry ... Cm, No. 8


[3]
# Y2CoBr

An optimized crystal structure of Y2CoBr (GGA-PBEsol, Alexandria via LeMat-Bulk).

Lattice parameters (Å, degrees): 3.9057 3.9057 6.1519 108.51 108.51 90.00
Closest atoms and distances in Å follow each position.
Sites, in units of the cell vectors:
Y 0.0000 0.0000 0.0000  4 Br 2.76
Y 0.7500 0.2500 0.5000  4 Co 2.76
Co 0.2500 0.7500 0.5000  4 Y 2.76
Br 0.5000 0.5000 0.0000  4 Y 2.76

Symmetry ... I-4m2, No. 119


[4]
# Y2CoBr

An optimized crystal structure of Y2CoBr (GGA-PBEsol, Alexandria via LeMat-Bulk).

Lattice parameters (Å, degrees): 3.7954 3.7954 7.7550 75.84 75.84 60.00
Closest atoms and distances in Å follow each position.
Sites, in units of the cell vectors:
Y 0.2690 0.2690 0.1930  3 Co 2.62
Y 0.7310 0.7310 0.8070  3 Co 2.62
Co 0.0000 0.0000 0.0000  6 Y 2.62
Br 0.5000 0.5000 0.5000  6 Y 3.17

Symmetry ... R-3m, No. 166


no.,uncorrected formation energy (kcal/mol of atoms),theoretical density (kg/m³)
1,8.67,6409
2,-9.93,6331
3,-4.93,6271
4,-17.09,5666